DFT (PBE) results for a relaxed AsP2W crystal.

## Properties
ΔH_f (0 K): 0.465 eV/atom
D(E_F): 2.11 states/eV per cell
crystal system: monoclinic

a = 4.675 Å, b = 4.607 Å, c = 3.747 Å
α = 73.99°, β = 75.06°, γ = 113.73°
Positions (direct):
As (0.500, 0.500, 0.000)
P (0.000, 0.000, 0.000)
P (0.500, 0.000, 0.500)
W (0.000, 0.500, 0.500)